Record 1
VASP calculation (PBE) on a geometry-optimized Li2Ac2TbTl5 structure. Values from VASP.

Output
DOS(E_F), states/eV/atom: 0.46
SG: P4/mbm, No. 127
Formation energy from the elements, eV/f.u.: -3.2

Geometry as Quantum ESPRESSO input:
```
&SYSTEM
  ibrav = 0, nat = 20, ntyp = 4
/
ATOMIC_SPECIES
Li 6.94 Li.upf
Ac 227.00 Ac.upf
Tb 158.93 Tb.upf
Tl 204.38 Tl.upf
CELL_PARAMETERS angstrom
11.117 0.000 0.000
0.000 11.117 0.000
0.000 0.000 4.456
ATOMIC_POSITIONS angstrom
Li 1.295 4.264 0.000
Li 4.264 9.822 0.000
Li 6.853 1.295 0.000
Li 9.822 6.853 0.000
Ac 1.980 7.538 0.000
Ac 3.579 1.980 0.000
Ac 7.538 9.138 0.000
Ac 9.138 3.579 0.000
Tb 0.000 0.000 0.000
Tb 5.559 5.559 0.000
Tl 0.000 5.559 2.228
Tl 0.746 2.336 2.228
Tl 2.336 10.371 2.228
Tl 3.223 4.813 2.228
Tl 4.813 7.895 2.228
Tl 5.559 0.000 2.228
Tl 6.305 3.223 2.228
Tl 7.895 6.305 2.228
Tl 8.781 0.746 2.228
Tl 10.371 8.781 2.228
```

---

Record 2
VASP calculation (PBE) on a geometry-optimized ZrVS3 structure. Values from VASP.

Output
Uncorrected formation energy, eV per atom: -0.25
DOS(E_F), states/eV/atom: 1.32
SG: Pm-3m, No. 221

Geometry as Quantum ESPRESSO input:
```
&SYSTEM
  ibrav = 0, nat = 5, ntyp = 3
/
ATOMIC_SPECIES
Zr 91.22 Zr.upf
V 50.94 V.upf
S 32.06 S.upf
CELL_PARAMETERS angstrom
4.948 0.000 0.000
0.000 4.948 0.000
0.000 0.000 4.948
ATOMIC_POSITIONS angstrom
Zr 0.000 0.000 0.000
V 2.474 2.474 2.474
S 0.000 0.000 2.474
S 0.000 2.474 0.000
S 2.474 0.000 0.000
```

---

- Which of these has the highest DOS(E_F)?
  ZrVS3

---

- Look up the DOS(E_F) of the first one.
  0.46 states/eV/atom